1.
{"formula": "NaP2RhS8", "functional": "PBE", "state": "relaxed", "cell": [[5.7887, 0.0000, 0.0000], [-2.8943, 5.0132, 0.0000], [0.0000, 0.0000, 8.9889]], "species": ["Na", "P", "P", "Rh", "S", "S", "S", "S", "S", "S", "S", "S"], "fractional_positions": [[0.0000, 0.0000, 0.0000], [0.3333, 0.6667, 0.7188], [0.6667, 0.3333, 0.2812], [0.0000, 0.0000, 0.5000], [0.0174, 0.6780, 0.3427], [0.3220, 0.3394, 0.3427], [0.3333, 0.6667, 0.9425], [0.3394, 0.0174, 0.6573], [0.6606, 0.9826, 0.3427], [0.6667, 0.3333, 0.0575], [0.6780, 0.6606, 0.6573], [0.9826, 0.3220, 0.6573]], "space_group": "P-3", "dft_energy_ev_per_cell": -55.11}

***

2.
{"formula": "NaPRhS2", "functional": "PBE", "state": "relaxed", "cell": [[4.7088, 0.0000, 0.0000], [0.0000, 4.7088, 0.0000], [0.0000, 0.0000, 4.6768]], "species": ["Na", "P", "Rh", "S", "S"], "fractional_positions": [[0.0000, 0.0000, 0.0000], [0.0000, 0.0000, 0.5000], [0.5000, 0.5000, 0.5000], [0.0000, 0.5000, 0.0000], [0.5000, 0.0000, 0.0000]], "de_polymorph_mev_per_atom": 1414, "space_group": "P4/mmm"}

***

3.
{"formula": "NaP2RhS", "functional": "PBE", "state": "relaxed", "cell": [[4.4732, 0.0000, 0.0000], [0.0000, 4.4732, 0.0000], [0.0000, 0.0000, 5.3868]], "species": ["Na", "P", "P", "Rh", "S"], "fractional_positions": [[0.0000, 0.0000, 0.0000], [0.0000, 0.5000, 0.5000], [0.5000, 0.0000, 0.5000], [0.5000, 0.5000, 0.5000], [0.5000, 0.5000, 0.0000]], "de_polymorph_mev_per_atom": 0, "space_group": "P4/mmm"}

***

4.
{"formula": "NaP2RhS", "functional": "PBE", "state": "relaxed", "cell": [[4.6751, 0.0000, 0.0000], [0.0000, 4.6751, 0.0000], [0.0000, 0.0000, 4.6747]], "species": ["Na", "P", "P", "Rh", "S"], "fractional_positions": [[0.0000, 0.0000, 0.0000], [0.0000, 0.5000, 0.0000], [0.5000, 0.0000, 0.0000], [0.5000, 0.5000, 0.5000], [0.0000, 0.0000, 0.5000]], "de_polymorph_mev_per_atom": 1463, "space_group": "P4/mmm"}

***

5.
{"formula": "NaPRhS2", "functional": "PBE", "state": "relaxed", "cell": [[4.9597, 0.0000, 0.0000], [0.0000, 4.9597, 0.0000], [0.0000, 0.0000, 4.3598]], "species": ["Na", "P", "Rh", "S", "S"], "fractional_positions": [[0.0000, 0.0000, 0.0000], [0.5000, 0.5000, 0.0000], [0.5000, 0.5000, 0.5000], [0.0000, 0.5000, 0.5000], [0.5000, 0.0000, 0.5000]], "de_polymorph_mev_per_atom": 0, "space_group": "P4/mmm"}

***

6.
{"formula": "NaSrPRh", "functional": "PBE", "state": "relaxed", "cell": [[4.0457, 0.0000, 0.0000], [0.0000, 4.0457, 0.0000], [0.0000, 0.0000, 12.4698]], "species": ["Na", "Na", "Sr", "Sr", "P", "P", "Rh", "Rh"], "fractional_positions": [[0.2500, 0.7500, 0.0000], [0.7500, 0.2500, 0.0000], [0.2500, 0.2500, 0.2857], [0.7500, 0.7500, 0.7143], [0.2500, 0.2500, 0.6055], [0.7500, 0.7500, 0.3945], [0.2500, 0.7500, 0.5000], [0.7500, 0.2500, 0.5000]], "e_form_ev_per_atom": -0.57, "space_group": "P4/nmm"}

***

7.
{"formula": "Na2TcPRh", "functional": "PBE", "state": "relaxed", "cell": [[5.3460, 0.0000, 0.0000], [0.0000, 5.3460, 0.0000], [0.0000, 0.0000, 4.4286]], "species": ["Na", "Na", "Tc", "P", "Rh"], "fractional_positions": [[0.0000, 0.5000, 0.0000], [0.5000, 0.0000, 0.0000], [0.0000, 0.0000, 0.0000], [0.0000, 0.0000, 0.5000], [0.5000, 0.5000, 0.5000]], "e_form_ev_per_atom": 1.13, "space_group": "P4/mmm"}

***

8.
{"formula": "NaZnPRh", "functional": "PBE", "state": "relaxed", "cell": [[3.8689, 0.0000, 0.0000], [0.0000, 3.8689, 0.0000], [0.0000, 0.0000, 10.8574]], "species": ["Na", "Na", "Zn", "Zn", "P", "P", "Rh", "Rh"], "fractional_positions": [[0.2500, 0.2500, 0.2466], [0.7500, 0.7500, 0.7534], [0.2500, 0.7500, 0.0000], [0.7500, 0.2500, 0.0000], [0.2500, 0.2500, 0.6228], [0.7500, 0.7500, 0.3772], [0.2500, 0.7500, 0.5000], [0.7500, 0.2500, 0.5000]], "e_form_ev_per_atom": -0.38, "space_group": "P4/nmm"}